An optimized crystal structure of TmThCuRe, computed with PBE-GGA.

```
TmThCuRe
1.0
0.000 3.493 3.493
3.493 0.000 3.493
3.493 3.493 0.000
Tm Th Cu Re
1 1 1 1
direct
0.000 0.000 0.000
0.500 0.500 0.500
0.250 0.250 0.250
0.750 0.750 0.750
```

Output
* final energy: -28.68 eV per cell
* magnetic moment: 0.00 μB per formula unit
* SG: No. 216
* energy of formation: -0.060 eV/atom